Entry 1:
RbTlGaBr3, optimized geometry, DFT GGA-PBE; space-group type = P2_1/m; formation energy from raw total energies = -1019 meV per atom; spin magnetization = 0.0 Bohr magnetons per cell; theoretical density = 3.784 g cm⁻³; crystal system = monoclinic
1.0
9.823 0.000 0.000
0.000 4.765 0.000
-1.447 0.000 11.236
Rb Tl Ga Br
2 2 2 6
Direct
0.155 0.250 0.181
0.845 0.750 0.819
0.359 0.750 0.858
0.641 0.250 0.142
0.152 0.250 0.607
0.848 0.750 0.393
0.112 0.250 0.869
0.133 0.750 0.433
0.402 0.750 0.133
0.598 0.250 0.867
0.867 0.250 0.567
0.888 0.750 0.131


Entry 2:
Nd3TeCl2O6, optimized geometry, DFT GGA-PBE; space-group type = C2/m; formation energy from raw total energies = -2139 meV per atom; spin magnetization = 0.0 Bohr magnetons per cell; theoretical density = 5.268 g cm⁻³; crystal system = monoclinic
1.0
6.074 -3.411 0.000
6.074 3.411 0.000
-0.913 0.000 5.531
Nd Te Cl O
3 1 2 6
Direct
0.000 0.000 0.000
0.000 0.500 0.500
0.500 0.000 0.500
0.500 0.500 0.500
0.208 0.208 0.863
0.792 0.792 0.137
0.202 0.679 0.701
0.321 0.798 0.299
0.339 0.339 0.330
0.661 0.661 0.670
0.679 0.202 0.701
0.798 0.321 0.299


Entry 3:
Zr2Ta, optimized geometry, DFT GGA-PBE; space-group type = P4/mmm; spin magnetization = 0.0 Bohr magnetons per cell; theoretical density = 7.967 g cm⁻³; crystal system = tetragonal; calculated formation energy = 0.64 eV per atom
1.0
5.010 0.000 0.000
0.000 5.010 0.000
0.000 0.000 3.018
Zr Ta
2 1
Direct
0.000 0.500 0.000
0.500 0.000 0.000
0.000 0.000 0.500


Entry 4:
AsW2Cl, optimized geometry, DFT GGA-PBE; space-group type = R3m; formation energy from raw total energies = 97 meV per atom; spin magnetization = 0.0 Bohr magnetons per cell; relative energy among the computed polymorphs = 109 meV per atom; theoretical density = 10.171 g cm⁻³; crystal system = trigonal
1.0
1.511 0.873 9.864
-1.511 0.873 9.864
0.000 -1.745 9.864
As W Cl
1 2 1
Direct
0.000 0.000 0.000
0.267 0.267 0.267
0.526 0.526 0.526
0.798 0.798 0.798